## Rb2Be2SnO6 (PBE)

Data for crystalline Rb2Be2SnO6 at its relaxed geometry.

abc: 7.0527 7.0527 7.0527
angles: 46.45 46.45 46.45
Positions (direct):
Rb (0.2070, 0.2070, 0.2070)
Rb (0.7930, 0.7930, 0.7930)
Be (0.3947, 0.3947, 0.3947)
Be (0.6053, 0.6053, 0.6053)
Sn (0.0000, 0.0000, 0.0000)
O (0.2400, 0.2400, 0.7173)
O (0.2400, 0.7173, 0.2400)
O (0.2827, 0.7600, 0.7600)
O (0.7173, 0.2400, 0.2400)
O (0.7600, 0.2827, 0.7600)
O (0.7600, 0.7600, 0.2827)

For the formation energy from raw total energies, the calculation gives -1.676 eV/atom. The magnetization is 2.015 μB/f.u. The space group is R-3m.



## Ce2Th4Ge3H2 (PBE)

Data for crystalline Ce2Th4Ge3H2 at its relaxed geometry.

abc: 12.4250 12.4250 12.4250
angles: 158.00 158.00 31.31
Positions (direct):
Ce (0.2021, 0.2021, 0.0000)
Ce (0.7979, 0.7979, 0.0000)
Th (0.0818, 0.5818, 0.5000)
Th (0.4182, 0.9182, 0.5000)
Th (0.5818, 0.0818, 0.5000)
Th (0.9182, 0.4182, 0.5000)
Ge (0.3286, 0.3286, 0.0000)
Ge (0.5000, 0.5000, 0.0000)
Ge (0.6714, 0.6714, 0.0000)
H (0.1024, 0.1024, 0.0000)
H (0.8976, 0.8976, 0.0000)

The magnetization is 2.212 μB/f.u. The space group is I4/mmm. The calculation puts the total energy at -6.043 eV/atom.



## Cs2TbBO4 (PBE)

Data for crystalline Cs2TbBO4 at its relaxed geometry.

abc: 13.5284 12.3851 6.5494
angles: 85.31 65.84 28.85
Positions (direct):
Cs (0.0528, 0.0528, 0.6972)
Cs (0.3028, 0.3028, 0.9472)
Cs (0.6972, 0.6972, 0.0528)
Cs (0.9472, 0.9472, 0.3028)
Tb (0.1250, 0.1250, 0.1250)
Tb (0.8750, 0.8750, 0.8750)
B (0.3750, 0.3750, 0.3750)
B (0.6250, 0.6250, 0.6250)
O (0.0947, 0.5823, 0.5037)
O (0.3193, 0.5037, 0.5823)
O (0.4177, 0.9053, 0.6807)
O (0.4963, 0.6807, 0.9053)
O (0.5037, 0.3193, 0.0947)
O (0.5823, 0.0947, 0.3193)
O (0.6807, 0.4963, 0.4177)
O (0.9053, 0.4177, 0.4963)

For the formation energy from raw total energies, the calculation gives -2.101 eV/atom. The magnetization is 0.000 μB/f.u. The space group is Fddd.



## Na3Sr8Ga2 (PBE)

Data for crystalline Na3Sr8Ga2 at its relaxed geometry.

abc: 10.8346 10.8346 5.9349
angles: 90.00 90.00 122.84
Positions (direct):
Na (0.0000, 0.0000, 0.0000)
Na (0.3237, 0.3237, 0.5000)
Na (0.6763, 0.6763, 0.5000)
Sr (0.1154, 0.8846, 0.5000)
Sr (0.1242, 0.4147, 0.0000)
Sr (0.3040, 0.6960, 0.5000)
Sr (0.4147, 0.1242, 0.0000)
Sr (0.5853, 0.8758, 0.0000)
Sr (0.6960, 0.3040, 0.5000)
Sr (0.8758, 0.5853, 0.0000)
Sr (0.8846, 0.1154, 0.5000)
Ga (0.2291, 0.7709, 0.0000)
Ga (0.7709, 0.2291, 0.0000)

The formation energy is -0.0316 eV/atom. The magnetization is 0.000 μB/f.u. The space group is Cmmm.



## Sm2Si3Ni2 (PBE)

Data for crystalline Sm2Si3Ni2 at its relaxed geometry.

abc: 9.0167 9.0167 6.6593
angles: 90.00 90.00 153.27
Positions (direct):
Sm (0.0530, 0.9470, 0.7500)
Sm (0.1587, 0.8413, 0.2500)
Sm (0.8413, 0.1587, 0.7500)
Sm (0.9470, 0.0530, 0.2500)
Si (0.2232, 0.7768, 0.7500)
Si (0.4367, 0.5633, 0.5677)
Si (0.4367, 0.5633, 0.9323)
Si (0.5633, 0.4367, 0.0677)
Si (0.5633, 0.4367, 0.4323)
Si (0.7768, 0.2232, 0.2500)
Ni (0.3054, 0.6946, 0.0541)
Ni (0.3054, 0.6946, 0.4459)
Ni (0.6946, 0.3054, 0.5541)
Ni (0.6946, 0.3054, 0.9459)

For the formation energy from raw total energies, the calculation gives -0.743 eV/atom. The magnetization is 0.000 μB/f.u. The space group is Cmcm.



## RhSe3Cl (PBE)

Data for crystalline RhSe3Cl at its relaxed geometry.

abc: 4.8932 4.8932 4.8932
angles: 90.00 90.00 90.00
Positions (direct):
Rh (0.0000, 0.0000, 0.0000)
Se (0.0000, 0.5000, 0.5000)
Se (0.5000, 0.0000, 0.5000)
Se (0.5000, 0.5000, 0.0000)
Cl (0.5000, 0.5000, 0.5000)

The calculation puts the energy above the most stable polymorph in this dataset at 839 meV/atom. For the formation energy from raw total energies, the calculation gives 1.280 eV/atom. The magnetization is 2.333 μB/f.u. The space group is Pm-3m.



## Nd2Pt2Au3 (PBE)

Data for crystalline Nd2Pt2Au3 at its relaxed geometry.

abc: 5.5478 5.5478 7.1253
angles: 95.87 95.87 44.44
Positions (direct):
Nd (0.1167, 0.1167, 0.3225)
Nd (0.8833, 0.8833, 0.6775)
Pt (0.4064, 0.4064, 0.3561)
Pt (0.5936, 0.5936, 0.6439)
Au (0.1965, 0.1965, 0.8773)
Au (0.5000, 0.5000, 0.0000)
Au (0.8035, 0.8035, 0.1227)

The formation energy is -0.7975 eV/atom. The magnetization is 0.000 μB/f.u. The space group is C2/m.



## La5CeN5 (PBE)

Data for crystalline La5CeN5 at its relaxed geometry.

abc: 6.4163 6.4163 7.3955
angles: 106.98 106.98 48.43
Positions (direct):
La (0.0000, 0.0000, 0.0000)
La (0.3284, 0.3284, 0.1757)
La (0.3286, 0.3286, 0.6565)
La (0.6714, 0.6714, 0.3435)
La (0.6716, 0.6716, 0.8243)
Ce (0.0000, 0.0000, 0.5000)
N (0.1549, 0.1549, 0.8165)
N (0.1652, 0.1652, 0.3382)
N (0.5000, 0.5000, 0.5000)
N (0.8348, 0.8348, 0.6618)
N (0.8451, 0.8451, 0.1835)

For the formation energy from raw total energies, the calculation gives -1.231 eV/atom. The magnetization is 0.312 μB/f.u. The space group is C2/m.



## Ce2Er3TmSb6 (PBE)

Data for crystalline Ce2Er3TmSb6 at its relaxed geometry.

abc: 9.8293 9.8293 8.7943
angles: 102.88 102.88 25.91
Positions (direct):
Ce (0.1653, 0.1653, 0.3313)
Ce (0.8347, 0.8347, 0.6687)
Er (0.1676, 0.1676, 0.8342)
Er (0.5000, 0.5000, 0.5000)
Er (0.8324, 0.8324, 0.1658)
Tm (0.5000, 0.5000, 0.0000)
Sb (0.0026, 0.0026, 0.7521)
Sb (0.3342, 0.3342, 0.9232)
Sb (0.3349, 0.3349, 0.4120)
Sb (0.6651, 0.6651, 0.5880)
Sb (0.6658, 0.6658, 0.0768)
Sb (0.9974, 0.9974, 0.2479)

For the formation energy from raw total energies, the calculation gives -1.071 eV/atom. The magnetization is 1.472 μB/f.u. The space group is C2/m.



## V2Pt7Rh (PBE)

Data for crystalline V2Pt7Rh at its relaxed geometry.

abc: 11.5260 11.5260 2.6833
angles: 90.00 90.00 153.82
Positions (direct):
V (0.2008, 0.7992, 0.0000)
V (0.7992, 0.2008, 0.0000)
Pt (0.1410, 0.3493, 0.0000)
Pt (0.3011, 0.6989, 0.5000)
Pt (0.3493, 0.1410, 0.0000)
Pt (0.5000, 0.5000, 0.0000)
Pt (0.6507, 0.8590, 0.0000)
Pt (0.6989, 0.3011, 0.5000)
Pt (0.8590, 0.6507, 0.0000)
Rh (0.0000, 0.0000, 0.5000)

The formation energy is -0.0719 eV/atom. The calculation puts the energy above the most stable polymorph in this dataset at 0 meV/atom. The magnetization is 0.289 μB/f.u. The space group is Cmmm.



## AcNd2Si (PBE)

Data for crystalline AcNd2Si at its relaxed geometry.

abc: 11.1885 11.1885 11.1885
angles: 20.72 20.72 20.72
Positions (direct):
Ac (0.0000, 0.0000, 0.0000)
Nd (0.1150, 0.1150, 0.1150)
Nd (0.8850, 0.8850, 0.8850)
Si (0.5000, 0.5000, 0.5000)

The calculation puts the energy above the most stable polymorph in this dataset at 163 meV/atom. For the formation energy from raw total energies, the calculation gives -0.054 eV/atom. The magnetization is 0.000 μB/f.u. The space group is R-3m.



## POsRu3 (PBE)

Data for crystalline POsRu3 at its relaxed geometry.

abc: 4.2778 4.2778 4.2778
angles: 90.00 90.00 90.00
Positions (direct):
P (0.0000, 0.0000, 0.0000)
Os (0.5000, 0.5000, 0.5000)
Ru (0.0000, 0.0000, 0.5000)
Ru (0.0000, 0.5000, 0.0000)
Ru (0.5000, 0.0000, 0.0000)

The formation energy is 0.8916 eV/atom. The calculation puts the energy above the most stable polymorph in this dataset at 0 meV/atom. The magnetization is 0.001 μB/f.u. The space group is Pm-3m.



## SbWN2 (PBE)

Data for crystalline SbWN2 at its relaxed geometry.

abc: 7.1274 7.1274 7.1274
angles: 24.79 24.79 24.79
Positions (direct):
Sb (0.0000, 0.0000, 0.0000)
W (0.5000, 0.5000, 0.5000)
N (0.1109, 0.1109, 0.1109)
N (0.8891, 0.8891, 0.8891)

For the formation energy from raw total energies, the calculation gives 0.057 eV/atom. The magnetization is 0.000 μB/f.u. The space group is R-3m.



## BaLiRe2O8 (PBE)

Data for crystalline BaLiRe2O8 at its relaxed geometry.

abc: 5.8483 5.8483 7.1980
angles: 90.00 90.00 120.00
Positions (direct):
Ba (0.0000, 0.0000, 0.0000)
Li (0.0000, 0.0000, 0.5000)
Re (0.3333, 0.6667, 0.7576)
Re (0.6667, 0.3333, 0.2424)
O (0.1634, 0.3306, 0.6867)
O (0.1672, 0.8366, 0.6867)
O (0.3306, 0.1672, 0.3133)
O (0.3333, 0.6667, 0.0055)
O (0.6667, 0.3333, 0.9945)
O (0.6694, 0.8328, 0.6867)
O (0.8328, 0.1634, 0.3133)
O (0.8366, 0.6694, 0.3133)

For the formation energy from raw total energies, the calculation gives -1.934 eV/atom. The magnetization is 1.096 μB/f.u. The space group is P-3.



## La8Pm3Dy2 (PBE)

Data for crystalline La8Pm3Dy2 at its relaxed geometry.

abc: 11.0409 11.0409 5.9198
angles: 90.06 90.06 41.03
Positions (direct):
La (0.0977, 0.6904, 0.9995)
La (0.1754, 0.1754, 0.5024)
La (0.3096, 0.9023, 0.0005)
La (0.3651, 0.3651, 0.5015)
La (0.6349, 0.6349, 0.4985)
La (0.6904, 0.0977, 0.9995)
La (0.8246, 0.8246, 0.4976)
La (0.9023, 0.3096, 0.0005)
Pm (0.2180, 0.7820, 0.5000)
Pm (0.5000, 0.5000, 0.0000)
Pm (0.7820, 0.2180, 0.5000)
Dy (0.2585, 0.2585, 0.0030)
Dy (0.7415, 0.7415, 0.9970)

The formation energy is 0.1803 eV/atom. The calculation puts the energy above the most stable polymorph in this dataset at 36 meV/atom. The magnetization is 0.000 μB/f.u. The space group is C2/m.



## Y2Ho3Pt2 (PBE)

Data for crystalline Y2Ho3Pt2 at its relaxed geometry.

abc: 6.3910 6.3910 9.0078
angles: 115.27 115.27 34.33
Positions (direct):
Y (0.1621, 0.1621, 0.3109)
Y (0.8379, 0.8379, 0.6891)
Ho (0.3847, 0.3847, 0.0642)
Ho (0.5000, 0.5000, 0.5000)
Ho (0.6153, 0.6153, 0.9358)
Pt (0.1720, 0.1720, 0.7385)
Pt (0.8280, 0.8280, 0.2615)

The formation energy is -0.8035 eV/atom. The magnetization is 0.001 μB/f.u. The space group is C2/m.



## MgZn2Pb2 (PBE)

Data for crystalline MgZn2Pb2 at its relaxed geometry.

abc: 8.3057 8.3057 3.6501
angles: 90.00 90.00 90.00
Positions (direct):
Mg (0.0000, 0.0000, 0.0000)
Mg (0.5000, 0.5000, 0.0000)
Zn (0.1132, 0.3868, 0.5000)
Zn (0.3868, 0.8868, 0.5000)
Zn (0.6132, 0.1132, 0.5000)
Zn (0.8868, 0.6132, 0.5000)
Pb (0.1851, 0.6851, 0.0000)
Pb (0.3149, 0.1851, 0.0000)
Pb (0.6851, 0.8149, 0.0000)
Pb (0.8149, 0.3149, 0.0000)

The formation energy is 0.1835 eV/atom. The calculation puts the energy above the most stable polymorph in this dataset at 112 meV/atom. The magnetization is 0.000 μB/f.u. The space group is P4/mbm.



## Ta2OsCl (PBE)

Data for crystalline Ta2OsCl at its relaxed geometry.

abc: 4.5560 4.5560 4.5560
angles: 60.00 60.00 60.00
Positions (direct):
Ta (0.2500, 0.2500, 0.2500)
Ta (0.7500, 0.7500, 0.7500)
Os (0.0000, 0.0000, 0.0000)
Cl (0.5000, 0.5000, 0.5000)

The calculation puts the energy above the most stable polymorph in this dataset at 528 meV/atom. For the formation energy from raw total energies, the calculation gives 0.437 eV/atom. The magnetization is 0.000 μB/f.u. The space group is Fm-3m.



## KSr3 (PBE)

Data for crystalline KSr3 at its relaxed geometry.

abc: 8.3465 8.3465 8.3465
angles: 150.20 63.17 125.70
Positions (direct):
K (0.0000, 0.0000, 0.0000)
Sr (0.0799, 0.3276, 0.7523)
Sr (0.5005, 0.0005, 0.5000)
Sr (0.5753, 0.3276, 0.2477)

The formation energy is 0.0799 eV/atom. The calculation puts the energy above the most stable polymorph in this dataset at 34 meV/atom. The magnetization is 0.000 μB/f.u. The space group is Imm2.



## LaCr2Se (PBE)

Data for crystalline LaCr2Se at its relaxed geometry.

abc: 3.5035 3.5035 6.8263
angles: 90.00 90.00 90.00
Positions (direct):
La (0.0000, 0.0000, 0.0000)
Cr (0.0000, 0.0000, 0.5206)
Cr (0.5000, 0.5000, 0.6610)
Se (0.5000, 0.5000, 0.2819)

For the formation energy from raw total energies, the calculation gives -0.126 eV/atom. The magnetization is 0.507 μB/f.u. The space group is P4mm.



## BaY3 (PBE)

Data for crystalline BaY3 at its relaxed geometry.

abc: 5.9970 5.9970 4.0841
angles: 90.00 90.00 90.00
Positions (direct):
Ba (0.0000, 0.0000, 0.0000)
Y (0.0000, 0.5000, 0.5000)
Y (0.5000, 0.0000, 0.5000)
Y (0.5000, 0.5000, 0.0000)

The formation energy is 0.2887 eV/atom. The calculation puts the energy above the most stable polymorph in this dataset at 147 meV/atom. The magnetization is 0.003 μB/f.u. The space group is P4/mmm.



## Dy12Er6Tm (PBE)

Data for crystalline Dy12Er6Tm at its relaxed geometry.

abc: 8.5718 8.5718 8.5718
angles: 97.64 97.64 97.64
Positions (direct):
Dy (0.0000, 0.2636, 0.7364)
Dy (0.0000, 0.7364, 0.2636)
Dy (0.1662, 0.5908, 0.5908)
Dy (0.2636, 0.0000, 0.7364)
Dy (0.2636, 0.7364, 0.0000)
Dy (0.4092, 0.4092, 0.8338)
Dy (0.4092, 0.8338, 0.4092)
Dy (0.5908, 0.1662, 0.5908)
Dy (0.5908, 0.5908, 0.1662)
Dy (0.7364, 0.0000, 0.2636)
Dy (0.7364, 0.2636, 0.0000)
Dy (0.8338, 0.4092, 0.4092)
Er (0.1381, 0.1381, 0.4080)
Er (0.1381, 0.4080, 0.1381)
Er (0.4080, 0.1381, 0.1381)
Er (0.5920, 0.8619, 0.8619)
Er (0.8619, 0.5920, 0.8619)
Er (0.8619, 0.8619, 0.5920)
Tm (0.0000, 0.0000, 0.0000)

The formation energy is 0.1349 eV/atom. The calculation puts the energy above the most stable polymorph in this dataset at 0 meV/atom. The magnetization is 0.000 μB/f.u. The space group is R-3m.



## PrNd5Sm4 (PBE)

Data for crystalline PrNd5Sm4 at its relaxed geometry.

abc: 14.5328 14.5328 6.9688
angles: 97.33 97.33 13.92
Positions (direct):
Pr (0.0000, 0.0000, 0.0000)
Nd (0.0000, 0.0000, 0.5000)
Nd (0.2942, 0.2942, 0.8969)
Nd (0.2990, 0.2990, 0.4013)
Nd (0.7010, 0.7010, 0.5987)
Nd (0.7058, 0.7058, 0.1031)
Sm (0.1081, 0.1081, 0.8079)
Sm (0.4058, 0.4058, 0.6995)
Sm (0.5942, 0.5942, 0.3005)
Sm (0.8919, 0.8919, 0.1921)

The formation energy is 0.1405 eV/atom. The calculation puts the energy above the most stable polymorph in this dataset at 0 meV/atom. The magnetization is 0.000 μB/f.u. The space group is C2/m.